[1]
LaYW4: relaxed, GGA-PBE.

abc: 5.5953 5.5953 5.5953
angles: 60.00 60.00 60.00
Fractional positions:
W  0.3748  0.3748  0.8756
W  0.3748  0.8756  0.3748
La  0.0000  0.0000  0.0000
W  0.3748  0.3748  0.3748
Y  0.7500  0.7500  0.7500
W  0.8756  0.3748  0.3748

Computed properties:
Calculated total energy   -10.254 eV per atom
Crystal system   cubic
Space group   F-43m, No. 216


[2]
La2YW: relaxed, GGA-PBE.

abc: 3.5584 3.5584 9.0919
angles: 90.00 90.00 90.00
Fractional positions:
La  0.5000  0.5000  0.3046
W  0.0000  0.0000  0.4959
La  0.0000  0.0000  0.0099
Y  0.5000  0.5000  0.6896

Computed properties:
Energy above the lowest structure with this stoichiometry   0.0 meV/atom
Calculated total energy   -6.876 eV per atom
Crystal system   tetragonal
Space group   P4mm, No. 99


[3]
LaY2W: relaxed, GGA-PBE.

abc: 6.3946 6.3946 5.5056
angles: 64.52 64.52 33.23
Fractional positions:
W  0.2409  0.2409  0.2594
La  0.5502  0.5502  0.4496
Y  0.7519  0.7519  0.7480
Y  0.9569  0.9569  0.0429

Computed properties:
Energy above the lowest structure with this stoichiometry   32.7 meV/atom
Calculated total energy   -7.262 eV per atom
Crystal system   orthorhombic
Space group   Imm2, No. 44


no.,formation energy from the elements (eV/atom),calculated volume (A^3/atom),DOS(E_F) (states/eV per atom)
1,0.280,20.645,1.08
2,0.442,28.780,1.41
3,0.440,27.557,1.10